## FePbO2 (PBE+U)

Data for FePbO2 after structural relaxation.

a = 6.916 Å, b = 6.916 Å, c = 6.916 Å
α = 25.63°, β = 25.63°, γ = 25.63°
Each line ends with the local moment (μB).
Fractional coordinates of all 4 atoms:
Pb: 0.000 0.000 0.000  0.00
Fe: 0.500 0.500 0.500  1.16
O: 0.880 0.880 0.880  -0.08
O: 0.120 0.120 0.120  -0.08

Calculated values
N(E_F)   0.089 states/eV per atom
VASP energy   -21.9 eV/cell